# 1
PBEsol Hg2GeTe, relaxed; formation energy from raw total energies = 113 kJ/mol of formula units; calculated volume = 23.68 Å³/atom
1.0
0.000 3.618 3.618
3.618 0.000 3.618
3.618 3.618 0.000
Hg Ge Te
2 1 1
direct
0.250 0.250 0.250
0.750 0.750 0.750
0.000 0.000 0.000
0.500 0.500 0.500

=====

# 2
PBEsol CrAs3Pb, relaxed; calculated volume = 20.93 Å³/atom; energy of formation from the pure elements = 0.29 eV/atom
1.0
4.712 0.000 0.000
0.000 4.712 0.000
0.000 0.000 4.712
Cr As Pb
1 3 1
direct
0.000 0.000 0.000
0.000 0.000 0.500
0.000 0.500 0.000
0.500 0.000 0.000
0.500 0.500 0.500

=====

Which formula does entry 2 have? CrAs3Pb